This record from Alexandria describes crystalline Ac5Pr4Er at its relaxed geometry. The functional is PBE-GGA.

Structure (POSCAR):
```
Ac5Pr4Er
1.0
3.8985 0.0000 0.0000
0.0000 3.8985 0.0000
0.0000 0.0000 26.1508
Ac Pr Er
5 4 1
direct
0.0000 0.0000 0.0000
0.0000 0.0000 0.2032
0.0000 0.0000 0.4052
0.0000 0.0000 0.5948
0.0000 0.0000 0.7968
0.5000 0.5000 0.1017
0.5000 0.5000 0.3049
0.5000 0.5000 0.6951
0.5000 0.5000 0.8983
0.5000 0.5000 0.5000
```

---

This record from Alexandria describes crystalline AcPr2Er at its relaxed geometry. The functional is PBE-GGA.

Structure (POSCAR):
```
AcPr2Er
1.0
4.2302 0.0000 0.0000
0.0000 4.2302 0.0000
0.0000 0.0000 8.3018
Ac Pr Er
1 2 1
direct
0.0000 0.0000 0.0000
0.5000 0.5000 0.2842
0.5000 0.5000 0.7158
0.0000 0.0000 0.5000
```

---

This record from Alexandria describes crystalline Ac2Pr3Er2 at its relaxed geometry. The functional is PBE-GGA.

Structure (POSCAR):
```
Ac2Pr3Er2
1.0
5.5529 0.0000 0.0000
0.0079 5.9360 0.0000
2.7715 2.9350 8.3568
Ac Pr Er
2 3 2
direct
0.1106 0.1088 0.2797
0.8894 0.8912 0.7203
0.0000 0.5000 0.5000
0.2374 0.7347 0.0251
0.7626 0.2653 0.9749
0.3903 0.3890 0.7196
0.6097 0.6110 0.2804
```

---

This record from Alexandria describes crystalline AcPr3Er12 at its relaxed geometry. The functional is PBE-GGA.

Structure (POSCAR):
```
AcPr3Er12
1.0
5.0561 0.0000 0.0000
0.0000 5.0561 0.0000
0.0000 0.0000 20.2440
Ac Pr Er
1 3 12
direct
0.0000 0.0000 0.0000
0.0000 0.0000 0.2517
0.0000 0.0000 0.5000
0.0000 0.0000 0.7483
0.0000 0.5000 0.1293
0.0000 0.5000 0.3763
0.0000 0.5000 0.6237
0.0000 0.5000 0.8707
0.5000 0.0000 0.1293
0.5000 0.0000 0.3763
0.5000 0.0000 0.6237
0.5000 0.0000 0.8707
0.5000 0.5000 0.0000
0.5000 0.5000 0.2526
0.5000 0.5000 0.5000
0.5000 0.5000 0.7474
```

---

This record from Alexandria describes crystalline Ac6Pr2Er at its relaxed geometry. The functional is PBE-GGA.

Structure (POSCAR):
```
Ac6Pr2Er
1.0
6.7491 0.0000 0.0000
0.0000 10.2685 0.0000
-6.5951 0.0000 10.8441
Ac Pr Er
12 4 2
direct
0.0543 0.1206 0.2050
0.0543 0.3794 0.7050
0.2941 0.7108 0.6484
0.2941 0.7892 0.1484
0.3685 0.1536 0.0167
0.3685 0.3464 0.5167
0.6315 0.6536 0.4833
0.6315 0.8464 0.9833
0.7059 0.2108 0.8516
0.7059 0.2892 0.3516
0.9457 0.6206 0.2950
0.9457 0.8794 0.7950
0.1495 0.0677 0.6379
0.1495 0.4323 0.1379
0.8505 0.5677 0.8621
0.8505 0.9323 0.3621
0.5000 0.0000 0.5000
0.5000 0.5000 0.0000
```

---

This record from Alexandria describes crystalline Ac2Pr3Er3 at its relaxed geometry. The functional is PBE-GGA.

Structure (POSCAR):
```
Ac2Pr3Er3
1.0
1.9181 -8.8454 0.0000
1.9181 8.8454 0.0000
0.0000 0.0000 17.5446
Ac Pr Er
4 6 6
direct
0.2479 0.7521 0.6082
0.2479 0.7521 0.8918
0.7521 0.2479 0.1082
0.7521 0.2479 0.3918
0.0937 0.9063 0.0405
0.0937 0.9063 0.4595
0.1121 0.8879 0.7500
0.8879 0.1121 0.2500
0.9063 0.0937 0.5405
0.9063 0.0937 0.9595
0.0896 0.9104 0.2500
0.4583 0.5417 0.1187
0.4583 0.5417 0.3813
0.5417 0.4583 0.6187
0.5417 0.4583 0.8813
0.9104 0.0896 0.7500
```

---

Number 1: calculated formation energy 29 kJ/mol of formula units. Number 2: calculated formation energy 42 kJ/mol of formula units. Number 3: calculated formation energy 194 kJ/mol of formula units. Number 4: calculated formation energy 59 kJ/mol of formula units. Number 5: calculated formation energy 113 kJ/mol of formula units. Number 6: calculated formation energy 120 kJ/mol of formula units.